Compound: LiTeCl
Source: Alexandria
Functional: PBE-GGA
Structure: relaxed

Cell lengths 5.1323, 5.1323, 5.1323 Å; angles 60.00, 60.00, 60.00 degrees
Positions (direct):
Li 0.0000 0.0000 0.0000
Te 0.7500 0.7500 0.7500
Cl 0.5000 0.5000 0.5000

Space-group type: No. 216
DOS at the Fermi energy in states/eV/atom: 0.61
Density in g/cm3: 3.0
E_form (uncorrected) in eV per atom: -0.103
E above lowest polymorph in eV/atom: 0.896